(1)
Density functional theory data (PBE-GGA) for a relaxed structure of Sr2InAs2.

The calculation puts the calculated formation energy at -0.4864 eV per atom. The volume is 151.8 Å³/f.u. The calculation puts the total energy at -35.67 eV per cell. The relative energy among the computed polymorphs comes out at 1.74 eV per formula unit.

```
data_Sr2InAs2
_cell_length_a 3.9634
_cell_length_b 3.9634
_cell_length_c 19.3288
_cell_angle_alpha 90.00
_cell_angle_beta 90.00
_cell_angle_gamma 90.00
_space_group_name_H-M_alt 'I 4/m m m'
_space_group_IT_number 139
_space_group_name_Hall '-I 4 2'
loop_
_atom_site_label
_atom_site_fract_x
_atom_site_fract_y
_atom_site_fract_z
_atom_site_occupancy
Sr1 0.0000 0.0000 0.1196 1
In1 0.0000 0.0000 0.5000 1
As1 0.0000 0.5000 0.2500 1
```

---

(2)
Density functional theory data (PBE-GGA) for a relaxed structure of BaGa2Ru.

The calculation puts the calculated formation energy at 0.2800 eV per atom. The volume is 88.7 Å³/f.u. The calculation puts the total energy at -64.53 eV per cell.

```
data_BaGa2Ru
_cell_length_a 7.0805
_cell_length_b 7.0805
_cell_length_c 7.0805
_cell_angle_alpha 90.00
_cell_angle_beta 90.00
_cell_angle_gamma 90.00
_space_group_name_H-M_alt 'F m -3 m'
_space_group_IT_number 225
_space_group_name_Hall '-F 4 2 3'
loop_
_atom_site_label
_atom_site_fract_x
_atom_site_fract_y
_atom_site_fract_z
_atom_site_occupancy
Ba1 0.0000 0.0000 0.0000 1
Ga1 0.2500 0.2500 0.2500 1
Ru1 0.0000 0.0000 0.5000 1
```

---

(3)
Density functional theory data (PBE-GGA) for a relaxed structure of HfCr2CuNi.

The calculation puts the calculated formation energy at 1.1054 eV per atom. The volume is 79.1 Å³/f.u. The calculation puts the total energy at -33.55 eV per cell.

```
data_HfCr2CuNi
_cell_length_a 4.2916
_cell_length_b 4.2916
_cell_length_c 4.2927
_cell_angle_alpha 90.00
_cell_angle_beta 90.00
_cell_angle_gamma 90.00
_space_group_name_H-M_alt 'P 4/m m m'
_space_group_IT_number 123
_space_group_name_Hall '-P 4 2'
loop_
_atom_site_label
_atom_site_fract_x
_atom_site_fract_y
_atom_site_fract_z
_atom_site_occupancy
Hf1 0.0000 0.0000 0.0000 1
Cr1 0.0000 0.5000 0.5000 1
Cu1 0.5000 0.5000 0.5000 1
Ni1 0.5000 0.5000 0.0000 1
```

---

(4)
Density functional theory data (PBE-GGA) for a relaxed structure of Cs2U3AgSe8.

The volume is 531.9 Å³/f.u. The calculation puts the total energy at -244.35 eV per cell. Its uncorrected formation energy is -1082 meV per atom.

```
data_Cs2U3AgSe8
_cell_length_a 8.2836
_cell_length_b 8.2836
_cell_length_c 26.8545
_cell_angle_alpha 90.00
_cell_angle_beta 90.00
_cell_angle_gamma 120.00
_space_group_name_H-M_alt 'R 3 m'
_space_group_IT_number 160
_space_group_name_Hall 'R 3 -2"'
loop_
_atom_site_label
_atom_site_fract_x
_atom_site_fract_y
_atom_site_fract_z
_atom_site_occupancy
Cs1 0.0000 0.0000 0.0000 1
Cs2 0.0000 0.0000 0.3525 1
U1 0.0031 0.5015 0.4999 1
Ag1 0.0000 0.0000 0.5099 1
Se1 0.0000 0.0000 0.2229 1
Se2 0.0000 0.0000 0.7744 1
Se3 0.0187 0.5094 0.7759 1
Se4 0.1753 0.3505 0.5584 1
```

---

(5)
Density functional theory data (PBE-GGA) for a relaxed structure of KErAs.

The calculation puts the calculated formation energy at -0.5417 eV per atom. The volume is 121.1 Å³/f.u. The calculation puts the total energy at -11.94 eV per cell.

```
data_KErAs
_cell_length_a 4.3229
_cell_length_b 4.3229
_cell_length_c 7.4812
_cell_angle_alpha 90.00
_cell_angle_beta 90.00
_cell_angle_gamma 120.00
_space_group_name_H-M_alt 'P 3 m 1'
_space_group_IT_number 156
loop_
_space_group_symop_operation_xyz
'x,y,z'
'-y,x-y,z'
'-x+y,-x,z'
'-y,-x,z'
'-x+y,y,z'
'x,x-y,z'
loop_
_atom_site_label
_atom_site_fract_x
_atom_site_fract_y
_atom_site_fract_z
_atom_site_occupancy
K1 0.0000 0.0000 0.0000 1
Er1 0.3333 0.6667 0.4617 1
As1 0.6667 0.3333 0.3097 1
```

---

(6)
Density functional theory data (PBE-GGA) for a relaxed structure of SmHoPu2Bi4.

The calculation puts the calculated formation energy at -0.5871 eV per atom. The volume is 262.6 Å³/f.u. The calculation puts the total energy at -58.18 eV per cell.

```
data_SmHoPu2Bi4
_cell_length_a 7.8192
_cell_length_b 4.5296
_cell_length_c 7.8610
_cell_angle_alpha 90.00
_cell_angle_beta 109.39
_cell_angle_gamma 90.00
_space_group_name_H-M_alt 'P 1 2/m 1'
_space_group_IT_number 10
loop_
_space_group_symop_operation_xyz
'x,y,z'
'-x,-y,-z'
'-x,y,-z'
'x,-y,z'
loop_
_atom_site_label
_atom_site_fract_x
_atom_site_fract_y
_atom_site_fract_z
_atom_site_occupancy
Sm1 0.0000 0.0000 0.0000 1
Ho1 0.0000 0.5000 0.5000 1
Pu1 0.5000 0.0000 0.5000 1
Pu2 0.5000 0.5000 0.0000 1
Bi1 0.2477 0.0000 0.7463 1
Bi2 0.2500 0.5000 0.2533 1
```

---

(7)
Density functional theory data (PBE-GGA) for a relaxed structure of Li2ZrGeO.

The volume is 69.0 Å³/f.u. The calculation puts the total energy at -29.08 eV per cell. Its uncorrected formation energy is -1425 meV per atom.

```
data_Li2ZrGeO
_cell_length_a 3.9589
_cell_length_b 3.9589
_cell_length_c 4.4017
_cell_angle_alpha 90.00
_cell_angle_beta 90.00
_cell_angle_gamma 90.00
_space_group_name_H-M_alt 'P 4/m m m'
_space_group_IT_number 123
_space_group_name_Hall '-P 4 2'
loop_
_atom_site_label
_atom_site_fract_x
_atom_site_fract_y
_atom_site_fract_z
_atom_site_occupancy
Li1 0.0000 0.5000 0.0000 1
Zr1 0.0000 0.0000 0.5000 1
Ge1 0.5000 0.5000 0.5000 1
O1 0.0000 0.0000 0.0000 1
```

---

(8)
Density functional theory data (PBE-GGA) for a relaxed structure of Ce2PuU3P6.

The calculation puts the calculated formation energy at -1.1695 eV per atom. The volume is 272.2 Å³/f.u. The calculation puts the total energy at -213.12 eV per cell.

```
data_Ce2PuU3P6
_cell_length_a 6.8841
_cell_length_b 11.9176
_cell_length_c 7.0220
_cell_angle_alpha 90.00
_cell_angle_beta 109.08
_cell_angle_gamma 90.00
_space_group_name_H-M_alt 'C 1 2/m 1'
_space_group_IT_number 12
loop_
_space_group_symop_operation_xyz
'x,y,z'
'-x,-y,-z'
'-x,y,-z'
'x,-y,z'
'x+1/2,y+1/2,z'
'-x+1/2,-y+1/2,-z'
'-x+1/2,y+1/2,-z'
'x+1/2,-y+1/2,z'
loop_
_atom_site_label
_atom_site_fract_x
_atom_site_fract_y
_atom_site_fract_z
_atom_site_occupancy
Ce1 0.0000 0.1664 0.0000 1
Pu1 0.0000 0.5000 0.0000 1
U1 0.0000 0.0000 0.5000 1
U2 0.0000 0.3321 0.5000 1
P1 0.2423 0.5000 0.7395 1
P2 0.2491 0.1647 0.7409 1
```

---

(9)
Density functional theory data (PBE-GGA) for a relaxed structure of HoHf2Ta.

The calculation puts the calculated formation energy at 0.1667 eV per atom. The volume is 93.1 Å³/f.u. The calculation puts the total energy at -35.67 eV per cell. The relative energy among the computed polymorphs comes out at 0.00 eV per formula unit.

```
data_HoHf2Ta
_cell_length_a 3.5539
_cell_length_b 3.5539
_cell_length_c 7.3673
_cell_angle_alpha 90.00
_cell_angle_beta 90.00
_cell_angle_gamma 90.00
_space_group_name_H-M_alt 'P 4/m m m'
_space_group_IT_number 123
_space_group_name_Hall '-P 4 2'
loop_
_atom_site_label
_atom_site_fract_x
_atom_site_fract_y
_atom_site_fract_z
_atom_site_occupancy
Ho1 0.0000 0.0000 0.0000 1
Hf1 0.5000 0.5000 0.2958 1
Ta1 0.0000 0.0000 0.5000 1
```

---

(10)
Density functional theory data (PBE-GGA) for a relaxed structure of GdYFeNi.

The calculation puts the calculated formation energy at -0.0532 eV per atom. The volume is 77.8 Å³/f.u. The calculation puts the total energy at -140.01 eV per cell.

```
data_GdYFeNi
_cell_length_a 6.7760
_cell_length_b 6.7760
_cell_length_c 6.7760
_cell_angle_alpha 90.00
_cell_angle_beta 90.00
_cell_angle_gamma 90.00
_space_group_name_H-M_alt 'F -4 3 m'
_space_group_IT_number 216
_space_group_name_Hall 'F -4 2 3'
loop_
_atom_site_label
_atom_site_fract_x
_atom_site_fract_y
_atom_site_fract_z
_atom_site_occupancy
Gd1 0.0000 0.0000 0.0000 1
Y1 0.0000 0.0000 0.5000 1
Fe1 0.2500 0.2500 0.7500 1
Ni1 0.2500 0.2500 0.2500 1
```

---

(11)
Density functional theory data (PBE-GGA) for a relaxed structure of SmTmCdNi.

The calculation puts the calculated formation energy at -0.2429 eV per atom. The volume is 92.4 Å³/f.u. The calculation puts the total energy at -67.44 eV per cell.

```
data_SmTmCdNi
_cell_length_a 7.1754
_cell_length_b 7.1754
_cell_length_c 7.1754
_cell_angle_alpha 90.00
_cell_angle_beta 90.00
_cell_angle_gamma 90.00
_space_group_name_H-M_alt 'F -4 3 m'
_space_group_IT_number 216
_space_group_name_Hall 'F -4 2 3'
loop_
_atom_site_label
_atom_site_fract_x
_atom_site_fract_y
_atom_site_fract_z
_atom_site_occupancy
Sm1 0.0000 0.0000 0.0000 1
Tm1 0.0000 0.0000 0.5000 1
Cd1 0.2500 0.2500 0.7500 1
Ni1 0.2500 0.2500 0.2500 1
```

---

(12)
Density functional theory data (PBE-GGA) for a relaxed structure of MgHIr3.

The volume is 62.2 Å³/f.u. The calculation puts the total energy at -128.14 eV per cell. The relative energy among the computed polymorphs comes out at 0.01 eV per formula unit.

```
data_MgHIr3
_cell_length_a 9.3549
_cell_length_b 4.8671
_cell_length_c 5.7396
_cell_angle_alpha 90.00
_cell_angle_beta 107.70
_cell_angle_gamma 90.00
_space_group_name_H-M_alt 'C 1 2 1'
_space_group_IT_number 5
loop_
_space_group_symop_operation_xyz
'x,y,z'
'-x,y,-z'
'x+1/2,y+1/2,z'
'-x+1/2,y+1/2,-z'
loop_
_atom_site_label
_atom_site_fract_x
_atom_site_fract_y
_atom_site_fract_z
_atom_site_occupancy
Mg1 0.0040 0.0000 0.2447 1
H1 0.1663 0.1820 0.5792 1
Ir1 0.0000 0.5253 0.5000 1
Ir2 0.0000 0.5272 0.0000 1
Ir3 0.2440 0.3382 0.8835 1
Ir4 0.2461 0.3362 0.3568 1
```